[1]
! YH3I (PBE, relaxed); values from VASP
! E (eV per atom): -3.730
! Calculated density (g cm⁻³): 4.73
&SYSTEM
  ibrav = 0, nat = 5, ntyp = 3
/
ATOMIC_SPECIES
H 1.01 H.upf
Y 88.91 Y.upf
I 126.90 I.upf
ATOMIC_POSITIONS crystal
H 0.500 0.000 0.000
H 0.000 0.500 0.000
H 0.000 0.000 0.500
Y 0.000 0.000 0.000
I 0.500 0.500 0.500
CELL_PARAMETERS angstrom
4.251 0.000 0.000
0.000 4.251 0.000
0.000 0.000 4.251

=====

[2]
! SmUInO6 (PBE, relaxed); values from VASP
! Energy relative to the elements, uncorrected (eV per atom): -2.75
! E (eV per atom): -8.139
! Calculated density (g cm⁻³): 7.30
&SYSTEM
  ibrav = 0, nat = 18, ntyp = 4
/
ATOMIC_SPECIES
O 16.00 O.upf
Sm 150.36 Sm.upf
U 238.03 U.upf
In 114.82 In.upf
ATOMIC_POSITIONS crystal
O 0.014 0.355 0.636
O 0.645 0.986 0.864
O 0.014 0.659 0.864
O 0.355 0.341 0.364
O 0.355 0.014 0.136
O 0.645 0.659 0.636
O 0.986 0.645 0.364
O 0.341 0.986 0.636
O 0.659 0.014 0.364
O 0.986 0.341 0.136
O 0.341 0.355 0.864
O 0.659 0.645 0.136
Sm 0.000 0.000 0.500
Sm 0.000 0.000 0.000
U 0.667 0.333 0.250
U 0.333 0.667 0.750
In 0.667 0.333 0.750
In 0.333 0.667 0.250
CELL_PARAMETERS angstrom
5.591 0.000 0.000
-2.795 4.842 0.000
0.000 0.000 10.068